[1]
Computed, not measured: crystalline BaCaS2 at its relaxed geometry at the PBE level of DFT.

The relative energy among the computed polymorphs is 58.1 meV per atom. The total magnetic moment is 0.0 μB per formula unit. The calculation puts the formation energy without anion corrections at -2008.2 meV/atom. The space group is R3m. Its total energy is -60.6 eV per cell.

Lattice parameters (Å, degrees): 4.212 4.212 21.929 90.00 90.00 120.00
Fractional positions:
Ba1 0.000 0.000 0.000
Ba2 0.333 0.667 0.667
Ba3 0.667 0.333 0.333
Ca1 0.000 0.000 0.831
Ca2 0.333 0.667 0.497
Ca3 0.667 0.333 0.164
S1 0.000 0.000 0.239
S2 0.000 0.000 0.424
S3 0.333 0.667 0.091
S4 0.333 0.667 0.906
S5 0.667 0.333 0.572
S6 0.667 0.333 0.758

---

[2]
Computed, not measured: crystalline BaCaS2 at its relaxed geometry at the PBE level of DFT.

The relative energy among the computed polymorphs is 204.2 meV per atom. The total magnetic moment is 0.0 μB per formula unit. The calculation puts the formation energy without anion corrections at -1862.1 meV/atom. The space group is I-42d. Its total energy is -78.5 eV per cell.

Lattice parameters (Å, degrees): 6.837 6.837 12.655 90.00 90.00 90.00
Fractional positions:
Ba1 0.000 0.000 0.000
Ba2 0.000 0.500 0.250
Ba3 0.500 0.000 0.750
Ba4 0.500 0.500 0.500
Ca1 0.000 0.000 0.500
Ca2 0.000 0.500 0.750
Ca3 0.500 0.000 0.250
Ca4 0.500 0.500 0.000
S1 0.211 0.250 0.625
S2 0.250 0.711 0.875
S3 0.250 0.789 0.375
S4 0.289 0.250 0.125
S5 0.711 0.750 0.125
S6 0.750 0.211 0.375
S7 0.750 0.289 0.875
S8 0.789 0.750 0.625

---

[3]
Computed, not measured: crystalline BaCaS2 at its relaxed geometry at the PBE level of DFT.

The relative energy among the computed polymorphs is 811.6 meV per atom. The total magnetic moment is 0.0 μB per formula unit. The calculation puts the formation energy without anion corrections at -1254.8 meV/atom. The space group is R-3m. Its total energy is -51.6 eV per cell.

Lattice parameters (Å, degrees): 4.418 4.418 25.334 90.00 90.00 120.00
Fractional positions:
Ba1 0.000 0.000 0.000
Ba2 0.333 0.667 0.667
Ba3 0.667 0.333 0.333
Ca1 0.000 0.000 0.500
Ca2 0.333 0.667 0.167
Ca3 0.667 0.333 0.833
S1 0.000 0.000 0.112
S2 0.000 0.000 0.888
S3 0.333 0.667 0.555
S4 0.333 0.667 0.778
S5 0.667 0.333 0.222
S6 0.667 0.333 0.445

---

[4]
Computed, not measured: crystalline BaCa3S at its relaxed geometry at the PBE level of DFT.

The relative energy among the computed polymorphs is 1675.1 meV per atom. The total magnetic moment is 4.2 μB per formula unit. The calculation puts the formation energy without anion corrections at 1040.4 meV/atom. The space group is Pm-3m. Its total energy is -6.9 eV per cell.

Lattice parameters (Å, degrees): 6.213 6.213 6.213 90.00 90.00 90.00
Fractional positions:
Ba1 0.000 0.000 0.000
Ca1 0.000 0.000 0.500
Ca2 0.000 0.500 0.000
Ca3 0.500 0.000 0.000
S1 0.500 0.500 0.500

---

[5]
Computed, not measured: crystalline BaCaS2 at its relaxed geometry at the PBE level of DFT.

The relative energy among the computed polymorphs is 12.9 meV per atom. The total magnetic moment is 0.0 μB per formula unit. The calculation puts the formation energy without anion corrections at -2053.5 meV/atom. The space group is P6_3/mmc. Its total energy is -40.8 eV per cell.

Lattice parameters (Å, degrees): 4.244 4.244 14.331 90.00 90.00 120.00
Fractional positions:
Ba1 0.333 0.667 0.250
Ba2 0.667 0.333 0.750
Ca1 0.000 0.000 0.000
Ca2 0.000 0.000 0.500
S1 0.333 0.667 0.611
S2 0.333 0.667 0.889
S3 0.667 0.333 0.111
S4 0.667 0.333 0.389

---

[6]
Computed, not measured: crystalline BaCa3S at its relaxed geometry at the PBE level of DFT.

The relative energy among the computed polymorphs is 0.0 meV per atom. The total magnetic moment is 0.0 μB per formula unit. The calculation puts the formation energy without anion corrections at -634.7 meV/atom. The space group is Pm-3m. Its total energy is -15.2 eV per cell.

Lattice parameters (Å, degrees): 5.803 5.803 5.803 90.00 90.00 90.00
Fractional positions:
Ba1 0.000 0.000 0.000
Ca1 0.000 0.500 0.500
Ca2 0.500 0.000 0.500
Ca3 0.500 0.500 0.000
S1 0.500 0.500 0.500

---

[7]
Computed, not measured: crystalline BaCa2S2 at its relaxed geometry at the PBE level of DFT.

The total magnetic moment is 0.0 μB per formula unit. The calculation puts the formation energy without anion corrections at -1301.6 meV/atom. The space group is I4/mmm. Its total energy is -41.4 eV per cell.

Lattice parameters (Å, degrees): 4.546 4.546 13.785 90.00 90.00 90.00
Fractional positions:
Ba1 0.000 0.000 0.000
Ba2 0.500 0.500 0.500
Ca1 0.000 0.500 0.250
Ca2 0.000 0.500 0.750
Ca3 0.500 0.000 0.250
Ca4 0.500 0.000 0.750
S1 0.000 0.000 0.373
S2 0.000 0.000 0.627
S3 0.500 0.500 0.127
S4 0.500 0.500 0.873

---

[8]
Computed, not measured: crystalline BaCaS2 at its relaxed geometry at the PBE level of DFT.

The relative energy among the computed polymorphs is 311.6 meV per atom. The total magnetic moment is 0.0 μB per formula unit. The calculation puts the formation energy without anion corrections at -1754.8 meV/atom. The space group is Fm-3m. Its total energy is -76.8 eV per cell.

Lattice parameters (Å, degrees): 7.395 7.395 7.395 90.00 90.00 90.00
Fractional positions:
Ba1 0.000 0.000 0.000
Ba2 0.000 0.500 0.500
Ba3 0.500 0.000 0.500
Ba4 0.500 0.500 0.000
Ca1 0.000 0.000 0.500
Ca2 0.000 0.500 0.000
Ca3 0.500 0.000 0.000
Ca4 0.500 0.500 0.500
S1 0.250 0.250 0.250
S2 0.250 0.250 0.750
S3 0.250 0.750 0.250
S4 0.250 0.750 0.750
S5 0.750 0.250 0.250
S6 0.750 0.250 0.750
S7 0.750 0.750 0.250
S8 0.750 0.750 0.750

---

[9]
Computed, not measured: crystalline BaCaS2 at its relaxed geometry at the PBE level of DFT.

The relative energy among the computed polymorphs is 624.9 meV per atom. The total magnetic moment is 0.0 μB per formula unit. The calculation puts the formation energy without anion corrections at -1441.5 meV/atom. The space group is R-3m. Its total energy is -53.8 eV per cell.

Lattice parameters (Å, degrees): 4.783 4.783 24.938 90.00 90.00 120.00
Fractional positions:
Ba1 0.000 0.000 0.000
Ba2 0.333 0.667 0.667
Ba3 0.667 0.333 0.333
Ca1 0.000 0.000 0.500
Ca2 0.333 0.667 0.167
Ca3 0.667 0.333 0.833
S1 0.000 0.000 0.399
S2 0.000 0.000 0.601
S3 0.333 0.667 0.065
S4 0.333 0.667 0.268
S5 0.667 0.333 0.732
S6 0.667 0.333 0.935

---

[10]
Computed, not measured: crystalline BaCa2SiS at its relaxed geometry at the PBE level of DFT.

The total magnetic moment is 0.2 μB per formula unit. The calculation puts the formation energy without anion corrections at 801.9 meV/atom. The space group is P4/mmm. Its total energy is -11.5 eV per cell.

Lattice parameters (Å, degrees): 6.567 6.567 5.497 90.00 90.00 90.00
Fractional positions:
Ba1 0.000 0.000 0.000
Ca1 0.000 0.500 0.000
Ca2 0.500 0.000 0.000
Si1 0.500 0.500 0.500
S1 0.000 0.000 0.500

---

[11]
Computed, not measured: crystalline Ba2CaSnS4 at its relaxed geometry at the PBE level of DFT.

The total magnetic moment is 0.0 μB per formula unit. The calculation puts the formation energy without anion corrections at -1630.9 meV/atom. The space group is P2/m. Its total energy is -39.4 eV per cell.

Lattice parameters (Å, degrees): 7.475 4.339 7.547 90.00 109.43 90.00
Fractional positions:
Ba1 0.000 0.000 0.000
Ba2 0.000 0.500 0.500
Ca1 0.500 0.000 0.500
Sn1 0.500 0.500 0.000
S1 0.272 0.000 0.751
S2 0.275 0.500 0.263
S3 0.725 0.500 0.737
S4 0.728 0.000 0.249

---

[12]
Computed, not measured: crystalline Ba3Sr2CaS6 at its relaxed geometry at the PBE level of DFT.

The total magnetic moment is 0.0 μB per formula unit. The calculation puts the formation energy without anion corrections at -2086.2 meV/atom. The space group is C2/m. Its total energy is -60.9 eV per cell.

Lattice parameters (Å, degrees): 7.594 7.594 7.612 99.58 99.58 119.99
Fractional positions:
Ba1 0.000 0.000 0.000
Ba2 0.333 0.667 0.000
Ba3 0.667 0.333 0.000
Sr1 0.167 0.833 0.500
Sr2 0.833 0.167 0.500
Ca1 0.500 0.500 0.500
S1 0.097 0.423 0.269
S2 0.251 0.251 0.732
S3 0.423 0.097 0.269
S4 0.577 0.903 0.731
S5 0.749 0.749 0.268
S6 0.903 0.577 0.731

---

[13]
Computed, not measured: crystalline BaSr2CaS at its relaxed geometry at the PBE level of DFT.

The relative energy among the computed polymorphs is 0.0 meV per atom. The total magnetic moment is 0.0 μB per formula unit. The calculation puts the formation energy without anion corrections at -742.8 meV/atom. The space group is P4/mmm. Its total energy is -15.1 eV per cell.

Lattice parameters (Å, degrees): 5.938 5.938 6.417 90.00 90.00 90.00
Fractional positions:
Ba1 0.000 0.000 0.000
Sr1 0.000 0.500 0.500
Sr2 0.500 0.000 0.500
Ca1 0.500 0.500 0.000
S1 0.000 0.000 0.500

---

[14]
Computed, not measured: crystalline Ba2Sr3CaS6 at its relaxed geometry at the PBE level of DFT.

The total magnetic moment is 0.0 μB per formula unit. The calculation puts the formation energy without anion corrections at -2094.1 meV/atom. The space group is C2/m. Its total energy is -60.8 eV per cell.

Lattice parameters (Å, degrees): 7.539 7.539 7.525 99.62 99.62 119.98
Fractional positions:
Ba1 0.167 0.833 0.000
Ba2 0.833 0.167 0.000
Sr1 0.000 0.000 0.500
Sr2 0.334 0.666 0.500
Sr3 0.666 0.334 0.500
Ca1 0.500 0.500 0.000
S1 0.097 0.414 0.743
S2 0.268 0.268 0.252
S3 0.414 0.097 0.743
S4 0.586 0.903 0.257
S5 0.732 0.732 0.748
S6 0.903 0.586 0.257